Below is a geometry-optimized PuHg2Pd8 structure, with properties calculated at the GGA-PBE level.

a = 4.103 Å, b = 7.969 Å, c = 7.579 Å
α = 121.72°, β = 105.70°, γ = 90.00°
Last column: magnetic moment on the atom in μB.
Positions (direct):
Pd1 0.333 0.584 0.666  -0.06
Pd2 0.835 0.835 0.670  -0.08
Hg1 0.840 0.340 0.679  0.00
Pd3 0.000 0.750 0.000  -0.08
Hg2 0.160 0.660 0.321  0.00
Pd4 0.667 0.917 0.334  -0.06
Pd5 0.667 0.416 0.334  -0.06
Pu1 0.500 0.000 0.000  4.53
Pd6 0.165 0.165 0.330  -0.08
Pd7 0.000 0.250 0.000  -0.08
Pd8 0.333 0.083 0.666  -0.06

Properties
Total magnetization, Bohr magnetons per cell: 4.07
Calculated volume, Å³ per cell: 199.9
Offset from the most stable computed form, meV per atom: 0